1.
First-principles (PBEsol) data for a geometry-optimized Na2Bi2C4SO16 structure, as listed in Alexandria via LeMat-Bulk.

Lattice parameters (Å, degrees): 10.472 10.365 10.068 61.64 60.57 57.78
Fractional positions:
Na (0.078, 0.672, 0.078)
Na (0.328, 0.922, 0.328)
Na (0.672, 0.078, 0.672)
Na (0.922, 0.328, 0.922)
Bi (0.000, 0.500, 0.500)
Bi (0.500, 0.000, 0.500)
Bi (0.500, 0.500, 0.000)
Bi (0.500, 0.500, 0.500)
C (0.264, 0.657, 0.292)
C (0.286, 0.292, 0.657)
C (0.292, 0.286, 0.264)
C (0.343, 0.736, 0.714)
C (0.657, 0.264, 0.286)
C (0.708, 0.714, 0.736)
C (0.714, 0.708, 0.343)
C (0.736, 0.343, 0.708)
S (0.125, 0.125, 0.125)
S (0.875, 0.875, 0.875)
O (0.062, 0.302, 0.069)
O (0.068, 0.069, 0.302)
O (0.069, 0.068, 0.062)
O (0.141, 0.654, 0.415)
O (0.155, 0.298, 0.667)
O (0.162, 0.413, 0.274)
O (0.274, 0.652, 0.162)
O (0.290, 0.415, 0.654)
O (0.298, 0.155, 0.380)
O (0.302, 0.062, 0.068)
O (0.333, 0.620, 0.845)
O (0.346, 0.859, 0.710)
O (0.348, 0.726, 0.587)
O (0.380, 0.667, 0.298)
O (0.413, 0.162, 0.652)
O (0.415, 0.290, 0.141)
O (0.585, 0.710, 0.859)
O (0.587, 0.838, 0.348)
O (0.620, 0.333, 0.702)
O (0.652, 0.274, 0.413)
O (0.654, 0.141, 0.290)
O (0.667, 0.380, 0.155)
O (0.698, 0.938, 0.932)
O (0.702, 0.845, 0.620)
O (0.710, 0.585, 0.346)
O (0.726, 0.348, 0.838)
O (0.838, 0.587, 0.726)
O (0.845, 0.702, 0.333)
O (0.859, 0.346, 0.585)
O (0.931, 0.932, 0.938)
O (0.932, 0.931, 0.698)
O (0.938, 0.698, 0.931)

ΔE_f (raw) ... -1.29 eV/atom
Total magnetization ... 1.9 μB per formula unit

---

2.
First-principles (PBEsol) data for a geometry-optimized CdInHg2 structure, as listed in Alexandria via LeMat-Bulk.

Lattice parameters (Å, degrees): 5.656 5.656 5.656 134.24 134.24 66.71
Fractional positions:
Cd (0.000, 0.000, 0.000)
In (0.250, 0.750, 0.500)
Hg (0.500, 0.500, 0.000)
Hg (0.750, 0.250, 0.500)

Total magnetization ... 0.0 μB per formula unit
ΔH_f (0 K) ... -0.008 eV per atom

---

3.
First-principles (PBEsol) data for a geometry-optimized Y2ZrCu structure, as listed in Alexandria via LeMat-Bulk.

Lattice parameters (Å, degrees): 6.195 6.195 6.195 148.05 132.05 58.78
Fractional positions:
Y (0.000, 0.000, 0.000)
Y (0.709, 0.209, 0.500)
Zr (0.290, 0.790, 0.500)
Cu (0.484, 0.484, 0.000)

Distance to the lowest polymorph of the same formula ... 3.1 kJ/mol of atoms
Total magnetization ... 0.0 μB per formula unit
ΔH_f (0 K) ... -0.021 eV per atom

---

4.
First-principles (PBEsol) data for a geometry-optimized PtW3 structure, as listed in Alexandria via LeMat-Bulk.

Lattice parameters (Å, degrees): 2.690 2.690 8.576 90.00 90.00 90.00
Fractional positions:
Pt (0.000, 0.000, 0.000)
W (0.000, 0.000, 0.500)
W (0.500, 0.500, 0.241)
W (0.500, 0.500, 0.759)

Total magnetization ... 0.0 μB per formula unit
ΔH_f (0 K) ... 0.051 eV per atom

---

5.
First-principles (PBEsol) data for a geometry-optimized Cr2NiSb structure, as listed in Alexandria via LeMat-Bulk.

Lattice parameters (Å, degrees): 4.252 4.252 4.252 60.00 60.00 60.00
Fractional positions:
Cr (0.000, 0.000, 0.000)
Cr (0.250, 0.250, 0.250)
Ni (0.500, 0.500, 0.500)
Sb (0.750, 0.750, 0.750)

ΔE_f (raw) ... 0.20 eV/atom
Total magnetization ... 1.4 μB per formula unit

---

6.
First-principles (PBEsol) data for a geometry-optimized AgBr structure, as listed in Alexandria via LeMat-Bulk.

Lattice parameters (Å, degrees): 7.223 7.223 7.223 33.28 33.28 33.28
Fractional positions:
Ag (0.129, 0.129, 0.129)
Ag (0.871, 0.871, 0.871)
Br (0.407, 0.407, 0.407)
Br (0.593, 0.593, 0.593)

ΔE_f (raw) ... -0.22 eV/atom
Total magnetization ... 0.0 μB per formula unit